Entry 1:
This record from Alexandria describes a relaxed AsW5 crystal. The functional is PBE-GGA.

```
AsW5
1.0
-1.339 4.654 -0.597
0.049 -3.035 -3.821
-4.458 -1.171 0.873
W As
5 1
direct
0.665 0.000 0.000
0.333 0.667 0.500
0.000 0.665 0.000
0.667 0.333 0.500
0.335 0.335 0.000
0.000 0.000 0.500
```

Computed properties:
- polymorph energy (0 for the lowest one) (meV per atom) = 236
- E (eV/cell) = -66.77
- spin magnetization (μB/f.u.) = 0.0
- V (A^3/atom) = 16.124
- density (g cm⁻³) = 17.1
- calculated formation energy (meV/atom) = 440

Entry 2:
This record from Alexandria describes a relaxed As2W crystal. The functional is PBE-GGA.

```
As2W
1.0
4.232 0.000 0.000
0.000 4.232 0.000
0.000 0.000 3.222
As W
2 1
direct
0.000 0.500 0.500
0.500 0.000 0.500
0.000 0.000 0.000
```

Computed properties:
- E (eV/cell) = -20.55
- spin magnetization (μB/f.u.) = 0.0
- V (A^3/atom) = 19.235
- density (g cm⁻³) = 9.6
- calculated formation energy (meV/atom) = 567

Entry 3:
This record from Alexandria describes a relaxed AsW crystal. The functional is PBE-GGA.

```
AsW
1.0
5.055 0.000 0.000
0.000 5.055 0.000
0.000 0.000 5.055
As W
4 4
direct
0.587 0.913 0.087
0.913 0.087 0.587
0.087 0.587 0.913
0.413 0.413 0.413
0.127 0.127 0.127
0.873 0.627 0.373
0.373 0.873 0.627
0.627 0.373 0.873
```

Computed properties:
- E (eV/cell) = -69.02
- spin magnetization (μB/f.u.) = 0.0
- V (A^3/atom) = 16.142
- density (g cm⁻³) = 13.3
- calculated formation energy (meV/atom) = 174

Entry 4:
This record from Alexandria describes a relaxed As4W5 crystal. The functional is PBE-GGA.

```
As4W5
1.0
8.023 0.000 0.000
-4.011 6.948 0.000
0.000 0.000 5.171
W As
10 8
direct
0.309 0.309 0.250
0.691 0.691 0.750
0.000 0.691 0.250
0.000 0.309 0.750
0.333 0.667 0.500
0.667 0.333 0.000
0.691 0.000 0.250
0.309 0.000 0.750
0.667 0.333 0.500
0.333 0.667 0.000
0.373 0.373 0.750
0.000 0.000 0.000
0.627 0.000 0.750
0.000 0.000 0.500
0.000 0.373 0.250
0.000 0.627 0.750
0.373 0.000 0.250
0.627 0.627 0.250
```

Computed properties:
- E (eV/cell) = -156.88
- spin magnetization (μB/f.u.) = 0.0
- V (A^3/atom) = 16.013
- density (g cm⁻³) = 14.0
- calculated formation energy (meV/atom) = 547

Entry 5:
This record from Alexandria describes a relaxed AsW crystal. The functional is PBE-GGA.

```
AsW
1.0
3.662 0.000 0.000
1.831 3.171 0.000
1.831 1.057 2.990
As W
1 1
direct
0.000 0.000 0.000
0.500 0.500 0.500
```

Computed properties:
- E (eV/cell) = -15.89
- spin magnetization (μB/f.u.) = 0.0
- V (A^3/atom) = 17.357
- density (g cm⁻³) = 12.4
- calculated formation energy (meV/atom) = 857

Entry 6:
This record from Alexandria describes a relaxed AsW crystal. The functional is PBE-GGA.

```
AsW
1.0
-0.031 8.273 3.125
-0.318 -6.841 5.595
3.619 -0.044 0.152
W As
6 6
direct
0.499 0.128 0.250
0.629 0.501 0.250
0.371 0.499 0.750
0.128 0.629 0.750
0.501 0.872 0.750
0.872 0.371 0.250
0.277 0.967 0.750
0.723 0.033 0.250
0.967 0.690 0.250
0.033 0.310 0.750
0.690 0.723 0.750
0.310 0.277 0.250
```

Computed properties:
- E (eV/cell) = -101.92
- spin magnetization (μB/f.u.) = 0.0
- V (A^3/atom) = 20.443
- density (g cm⁻³) = 10.5
- calculated formation energy (meV/atom) = 308

Entry 7:
This record from Alexandria describes a relaxed AsW crystal. The functional is PBE-GGA.

```
AsW
1.0
-0.921 0.576 3.589
-0.111 -3.705 0.566
6.093 0.054 1.555
As W
2 2
direct
0.750 0.750 0.704
0.250 0.250 0.296
0.750 0.250 0.000
0.250 0.750 0.000
```

Computed properties:
- E (eV/cell) = -33.73
- spin magnetization (μB/f.u.) = 0.0
- V (A^3/atom) = 22.105
- density (g cm⁻³) = 9.7
- calculated formation energy (meV/atom) = 370

Entry 8:
This record from Alexandria describes a relaxed As2W crystal. The functional is PBE-GGA.

```
As2W
1.0
9.865 4.842 2.872
8.523 7.495 -0.442
-10.256 -4.874 0.251
As W
4 2
direct
0.317 0.817 0.500
0.183 0.683 0.500
0.433 0.433 0.000
0.567 0.567 0.000
0.750 0.250 0.500
0.000 0.000 0.000
```

Computed properties:
- E (eV/cell) = -43.45
- spin magnetization (μB/f.u.) = 0.0
- V (A^3/atom) = 18.396
- density (g cm⁻³) = 10.0
- calculated formation energy (meV/atom) = 175

Entry 9:
This record from Alexandria describes a relaxed As3W crystal. The functional is PBE-GGA.

```
As3W
1.0
-2.777 -4.209 3.466
0.993 -4.137 -4.229
6.952 -1.796 3.389
As W
12 4
direct
0.405 0.789 0.069
0.905 0.711 0.569
0.857 0.042 0.250
0.595 0.211 0.569
0.143 0.958 0.750
0.357 0.458 0.750
0.595 0.211 0.931
0.405 0.789 0.431
0.095 0.289 0.431
0.643 0.542 0.250
0.095 0.289 0.069
0.905 0.711 0.931
0.054 0.656 0.250
0.946 0.344 0.750
0.554 0.844 0.750
0.446 0.156 0.250
```

Computed properties:
- polymorph energy (0 for the lowest one) (meV per atom) = 0
- E (eV/cell) = -106.10
- spin magnetization (μB/f.u.) = 0.0
- V (A^3/atom) = 18.215
- density (g cm⁻³) = 9.3
- calculated formation energy (meV/atom) = 94

Entry 10:
This record from Alexandria describes a relaxed As2W crystal. The functional is PBE-GGA.

```
As2W
1.0
-1.494 3.019 -3.373
-2.406 -0.375 4.098
1.509 1.934 1.062
As W
2 1
direct
0.667 0.333 0.000
0.333 0.667 0.000
0.000 0.000 0.000
```

Computed properties:
- E (eV/cell) = -20.93
- spin magnetization (μB/f.u.) = 0.0
- V (A^3/atom) = 17.533
- density (g cm⁻³) = 10.5
- calculated formation energy (meV/atom) = 439

Entry 11:
This record from Alexandria describes a relaxed AsW crystal. The functional is PBE-GGA.

```
AsW
1.0
10.819 0.000 0.000
0.000 10.819 0.000
0.000 0.000 3.381
W As
8 8
direct
0.787 0.334 0.000
0.166 0.287 0.500
0.713 0.166 0.500
0.213 0.666 0.000
0.666 0.787 0.000
0.334 0.213 0.000
0.287 0.834 0.500
0.834 0.713 0.500
0.937 0.246 0.500
0.063 0.754 0.500
0.754 0.937 0.500
0.437 0.746 0.000
0.746 0.563 0.000
0.563 0.254 0.000
0.246 0.063 0.500
0.254 0.437 0.000
```

Computed properties:
- E (eV/cell) = -132.24
- spin magnetization (μB/f.u.) = 0.0
- V (A^3/atom) = 24.739
- density (g cm⁻³) = 8.7
- calculated formation energy (meV/atom) = 536

Entry 12:
This record from Alexandria describes a relaxed As3W2 crystal. The functional is PBE-GGA.

```
As3W2
1.0
-6.702 1.746 0.486
-6.716 -0.879 -1.521
-6.307 -4.451 5.869
W As
4 6
direct
0.653 0.653 0.128
0.247 0.247 0.628
0.347 0.347 0.872
0.753 0.753 0.372
0.106 0.106 0.370
0.894 0.894 0.630
0.876 0.876 0.047
0.584 0.584 0.686
0.124 0.124 0.953
0.416 0.416 0.314
```

Computed properties:
- polymorph energy (0 for the lowest one) (meV per atom) = 0
- E (eV/cell) = -80.60
- spin magnetization (μB/f.u.) = 0.0
- V (A^3/atom) = 17.736
- density (g cm⁻³) = 11.1
- calculated formation energy (meV/atom) = -89